First-principles (PBE) data for a geometry-optimized Y2Er5Sc4 structure, as listed in Alexandria via LeMat-Bulk.

Computed properties:
space-group type	C2/m (12)
magnetic moment	0.000	μB per formula unit
DFT total energy	-5.3604	eV/atom
calculated formation energy	4.41	kcal/mol of atoms

a b c (Å): 6.7598 6.7598 10.1235
angles (deg): 120.34 120.34 57.98
Atoms (fractional coordinates):
1 Y 0.0719 0.0719 0.2551
2 Y 0.9281 0.9281 0.7449
3 Er 0.0737 0.6095 0.3313
4 Er 0.3905 0.9263 0.6687
5 Er 0.5000 0.5000 0.0000
6 Er 0.6095 0.0737 0.3313
7 Er 0.9263 0.3905 0.6687
8 Sc 0.2474 0.2474 0.0290
9 Sc 0.3978 0.3978 0.6285
10 Sc 0.6022 0.6022 0.3715
11 Sc 0.7526 0.7526 0.9710

First-principles (PBE) data for a geometry-optimized Y2ErSc3 structure, as listed in Alexandria via LeMat-Bulk.

Computed properties:
space-group type	Cc (9)
magnetic moment	0.002	μB per formula unit
DFT total energy	-5.8621	eV/atom
calculated formation energy	5.05	kcal/mol of atoms

a b c (Å): 7.3464 7.3464 6.8753
angles (deg): 103.94 103.94 97.75
Atoms (fractional coordinates):
1 Y 0.2362 0.7638 0.5000
2 Y 0.4201 0.8939 0.0344
3 Y 0.7638 0.2362 0.0000
4 Y 0.8939 0.4201 0.5344
5 Er 0.3268 0.3284 0.2671
6 Er 0.3284 0.3268 0.7671
7 Sc 0.0105 0.9754 0.7978
8 Sc 0.0365 0.6201 0.0171
9 Sc 0.6201 0.0365 0.5171
10 Sc 0.6451 0.6801 0.7359
11 Sc 0.6801 0.6451 0.2359
12 Sc 0.9754 0.0105 0.2978

First-principles (PBE) data for a geometry-optimized Y8Er6Sc structure, as listed in Alexandria via LeMat-Bulk.

Computed properties:
space-group type	P-3 (147)
magnetic moment	0.001	μB per formula unit
DFT total energy	-5.5484	eV/atom
calculated formation energy	3.37	kcal/mol of atoms

a b c (Å): 9.7967 9.7967 5.7086
angles (deg): 90.00 90.00 120.00
Atoms (fractional coordinates):
1 Y 0.0501 0.2705 0.2335
2 Y 0.2204 0.9499 0.2335
3 Y 0.2705 0.2204 0.7665
4 Y 0.3333 0.6667 0.2353
5 Y 0.6667 0.3333 0.7647
6 Y 0.7295 0.7796 0.2335
7 Y 0.7796 0.0501 0.7665
8 Y 0.9499 0.7295 0.7665
9 Er 0.0919 0.4715 0.7414
10 Er 0.3795 0.9081 0.7414
11 Er 0.4715 0.3795 0.2586
12 Er 0.5285 0.6205 0.7414
13 Er 0.6205 0.0919 0.2586
14 Er 0.9081 0.5285 0.2586
15 Sc 0.0000 0.0000 0.5000

First-principles (PBE) data for a geometry-optimized YEr6Sc6 structure, as listed in Alexandria via LeMat-Bulk.

Computed properties:
space-group type	Cmmm (65)
magnetic moment	0.000	μB per formula unit
DFT total energy	-5.3292	eV/atom
calculated formation energy	4.53	kcal/mol of atoms

a b c (Å): 6.2735 6.2735 10.5842
angles (deg): 90.00 90.00 115.98
Atoms (fractional coordinates):
1 Y 0.0000 0.0000 0.0000
2 Er 0.0000 0.0000 0.3348
3 Er 0.0000 0.0000 0.6652
4 Er 0.2833 0.7167 0.5000
5 Er 0.3516 0.6484 0.0000
6 Er 0.6484 0.3516 0.0000
7 Er 0.7167 0.2833 0.5000
8 Sc 0.0000 0.5000 0.2268
9 Sc 0.0000 0.5000 0.7732
10 Sc 0.5000 0.0000 0.2268
11 Sc 0.5000 0.0000 0.7732
12 Sc 0.5000 0.5000 0.2878
13 Sc 0.5000 0.5000 0.7122

First-principles (PBE) data for a geometry-optimized Y2ErSc3 structure, as listed in Alexandria via LeMat-Bulk.

Computed properties:
space-group type	P-3m1 (164)
magnetic moment	1.175	μB per formula unit
DFT total energy	-5.8459	eV/atom
calculated formation energy	5.42	kcal/mol of atoms

a b c (Å): 6.3105 6.3105 10.2757
angles (deg): 90.00 90.00 120.00
Atoms (fractional coordinates):
1 Y 0.0000 0.0000 0.0000
2 Y 0.0000 0.0000 0.5000
3 Y 0.3333 0.6667 0.0639
4 Y 0.6667 0.3333 0.9361
5 Er 0.3333 0.6667 0.4376
6 Er 0.6667 0.3333 0.5624
7 Sc 0.1719 0.3438 0.7489
8 Sc 0.1719 0.8281 0.7489
9 Sc 0.3438 0.1719 0.2511
10 Sc 0.6562 0.8281 0.7489
11 Sc 0.8281 0.1719 0.2511
12 Sc 0.8281 0.6562 0.2511

First-principles (PBE) data for a geometry-optimized YErSc3 structure, as listed in Alexandria via LeMat-Bulk.

Computed properties:
space-group type	C2/m (12)
magnetic moment	0.000	μB per formula unit
DFT total energy	-5.8279	eV/atom
calculated formation energy	4.07	kcal/mol of atoms

a b c (Å): 6.4456 6.4456 7.6203
angles (deg): 102.99 102.99 66.30
Atoms (fractional coordinates):
1 Y 0.1111 0.1111 0.2209
2 Y 0.8889 0.8889 0.7791
3 Er 0.3489 0.3489 0.9990
4 Er 0.6511 0.6511 0.0010
5 Sc 0.0712 0.6546 0.3372
6 Sc 0.3454 0.9288 0.6628
7 Sc 0.3973 0.3973 0.6179
8 Sc 0.6027 0.6027 0.3821
9 Sc 0.6546 0.0712 0.3372
10 Sc 0.9288 0.3454 0.6628

First-principles (PBE) data for a geometry-optimized Y15ErSc4 structure, as listed in Alexandria via LeMat-Bulk.

Computed properties:
space-group type	P4/mmm (123)
magnetic moment	0.000	μB per formula unit
DFT total energy	-6.2975	eV/atom
calculated formation energy	1.04	kcal/mol of atoms

a b c (Å): 4.9641 4.9641 24.7649
angles (deg): 90.00 90.00 90.00
Atoms (fractional coordinates):
1 Y 0.0000 0.0000 0.0000
2 Y 0.0000 0.0000 0.2023
3 Y 0.0000 0.0000 0.4008
4 Y 0.0000 0.0000 0.5992
5 Y 0.0000 0.0000 0.7977
6 Y 0.0000 0.5000 0.1028
7 Y 0.0000 0.5000 0.3015
8 Y 0.0000 0.5000 0.5000
9 Y 0.0000 0.5000 0.6985
10 Y 0.0000 0.5000 0.8972
11 Y 0.5000 0.0000 0.1028
12 Y 0.5000 0.0000 0.3015
13 Y 0.5000 0.0000 0.5000
14 Y 0.5000 0.0000 0.6985
15 Y 0.5000 0.0000 0.8972
16 Er 0.5000 0.5000 0.0000
17 Sc 0.5000 0.5000 0.2020
18 Sc 0.5000 0.5000 0.4008
19 Sc 0.5000 0.5000 0.5992
20 Sc 0.5000 0.5000 0.7980

First-principles (PBE) data for a geometry-optimized Y2Er4Sc structure, as listed in Alexandria via LeMat-Bulk.

Computed properties:
space-group type	Pbca (61)
magnetic moment	0.000	μB per formula unit
DFT total energy	-5.1866	eV/atom
calculated formation energy	3.97	kcal/mol of atoms

a b c (Å): 5.4790 12.1376 12.9929
angles (deg): 90.00 90.00 90.00
Atoms (fractional coordinates):
1 Y 0.0010 0.0691 0.1547
2 Y 0.0010 0.4309 0.6547
3 Y 0.4990 0.5691 0.1547
4 Y 0.4990 0.9309 0.6547
5 Y 0.5010 0.0691 0.3453
6 Y 0.5010 0.4309 0.8453
7 Y 0.9990 0.5691 0.3453
8 Y 0.9990 0.9309 0.8453
9 Er 0.0035 0.2462 0.9251
10 Er 0.0035 0.2538 0.4251
11 Er 0.0038 0.1469 0.6795
12 Er 0.0038 0.3531 0.1795
13 Er 0.4962 0.6469 0.6795
14 Er 0.4962 0.8531 0.1795
15 Er 0.4965 0.7462 0.9251
16 Er 0.4965 0.7538 0.4251
17 Er 0.5035 0.2462 0.5749
18 Er 0.5035 0.2538 0.0749
19 Er 0.5038 0.1469 0.8205
20 Er 0.5038 0.3531 0.3205
21 Er 0.9962 0.6469 0.8205
22 Er 0.9962 0.8531 0.3205
23 Er 0.9965 0.7462 0.5749
24 Er 0.9965 0.7538 0.0749
25 Sc 0.0000 0.0000 0.5000
26 Sc 0.0000 0.5000 0.0000
27 Sc 0.5000 0.0000 0.0000
28 Sc 0.5000 0.5000 0.5000